Computed, not measured: an optimized crystal structure of BaNaLi2Ga at the PBE level of DFT.

## Properties
* ΔH_f (0 K): -0.02 eV/atom
* energy: -10.21 eV/cell

Lattice parameters (Å, degrees): 5.244 5.244 5.581 90.00 90.00 90.00
Fractional coordinates of all 5 atoms:
Na: 0.000 0.000 0.500
Ba: 0.500 0.500 0.500
Ga: 0.000 0.000 0.000
Li: 0.000 0.500 0.000
Li: 0.500 0.000 0.000